Here is BaCaNd2Tl4 after structural relaxation from Alexandria. Energies are from GGA-PBE.

```
8
Lattice="2.782 1.606 9.763 -2.782 1.606 9.763 0.000 -3.213 9.763" Properties=species:S:1:pos:R:3 pbc="T T T"
Ba 0.000 0.000 0.000
Ca 0.000 0.000 14.644
Nd 0.000 0.000 7.023
Nd 0.000 0.000 22.266
Tl 0.000 0.000 3.665
Tl 0.000 0.000 11.304
Tl 0.000 0.000 17.985
Tl 0.000 0.000 25.624
```

Computed properties:
- Total DFT energy (no corrections): -3.204 eV/atom
- Symmetry: No. 166
- Crystal system: trigonal
- Energy relative to the elements: -0.338 eV per atom


Here is BaCaNi2 after structural relaxation from Alexandria. Energies are from GGA-PBE.

```
4
Lattice="5.055 -2.089 0.000 5.055 2.089 0.000 -4.352 0.000 5.703" Properties=species:S:1:pos:R:3 pbc="T T T"
Ba 0.000 0.000 0.000
Ca 2.879 0.000 2.851
Ni 0.040 0.000 3.148
Ni 5.719 0.000 2.555
```

Computed properties:
- Total DFT energy (no corrections): -3.847 eV/atom
- Symmetry: No. 12
- Crystal system: monoclinic
- Energy relative to the lowest polymorph listed for this composition: 0.045 eV per atom
- Energy relative to the elements: 0.025 eV per atom


Here is BaCaNi after structural relaxation from Alexandria. Energies are from GGA-PBE.

```
6
Lattice="5.843 0.000 0.000 -0.569 5.931 0.000 -0.713 -1.325 6.049" Properties=species:S:1:pos:R:3 pbc="T T T"
Ba 0.000 0.000 0.000
Ba 1.687 1.848 5.620
Ca -0.585 2.991 2.540
Ca 2.933 -0.143 2.879
Ni -0.031 0.113 3.257
Ni 4.626 1.412 4.830
```

Computed properties:
- Total DFT energy (no corrections): -3.217 eV/atom
- Symmetry: No. 1
- Crystal system: triclinic
- Energy relative to the lowest polymorph listed for this composition: 0.083 eV per atom
- Energy relative to the elements: 0.018 eV per atom


Here is BaCaNi after structural relaxation from Alexandria. Energies are from GGA-PBE.

```
6
Lattice="7.047 -2.029 0.000 7.047 2.029 0.000 -5.833 0.000 7.175" Properties=species:S:1:pos:R:3 pbc="T T T"
Ba 1.977 0.000 0.706
Ba 6.285 0.000 6.469
Ca 2.527 0.000 4.368
Ca 5.735 0.000 2.807
Ni -2.506 0.000 4.702
Ni 10.768 0.000 2.473
```

Computed properties:
- Total DFT energy (no corrections): -3.250 eV/atom
- Symmetry: No. 12
- Crystal system: monoclinic
- Energy relative to the lowest polymorph listed for this composition: 0.050 eV per atom
- Energy relative to the elements: -0.015 eV per atom


Q: What is the formula in the third record?
A: BaCaNi


Q: Look up the total DFT energy (no corrections) of the third one.
A: -3.217 eV/atom


Copy entry 1 word for word.
Here is BaCaNd2Tl4 after structural relaxation from Alexandria. Energies are from GGA-PBE.

```
8
Lattice="2.782 1.606 9.763 -2.782 1.606 9.763 0.000 -3.213 9.763" Properties=species:S:1:pos:R:3 pbc="T T T"
Ba 0.000 0.000 0.000
Ca 0.000 0.000 14.644
Nd 0.000 0.000 7.023
Nd 0.000 0.000 22.266
Tl 0.000 0.000 3.665
Tl 0.000 0.000 11.304
Tl 0.000 0.000 17.985
Tl 0.000 0.000 25.624
```

Computed properties:
- Total DFT energy (no corrections): -3.204 eV/atom
- Symmetry: No. 166
- Crystal system: trigonal
- Energy relative to the elements: -0.338 eV per atom


Q: Among the records above, which one has the lowest total DFT energy (no corrections)?
A: BaCaNi2